# 1
Below is a relaxed Pr7Ga2Rh2 crystal, with properties calculated at the GGA-PBE level.

Calculated volume = 329.4 Å³ per cell
E_form = -0.360 eV per atom
DFT total energy = -58.18 eV/cell
Space-group type = Cmmm (65)
Spin magnetization = 0.0 μB/cell
DOS(E_F) = 10.1 states/eV per cell

Cell and atoms, written as POSCAR:
```
Pr7Ga2Rh2
1.0
6.8999 -0.0031 -0.9477
0.0032 7.1920 0.0032
-1.3758 -0.0020 6.8274
Pr Ga Rh
7 2 2
direct
0.0000 0.2629 0.5000
0.5000 0.7371 0.0000
0.0000 0.7371 0.5000
0.5000 0.2629 0.0000
0.0000 0.0000 0.0000
0.5000 0.7408 0.5000
0.5000 0.2592 0.5000
0.8397 0.5000 0.8397
0.1603 0.5000 0.1603
0.7034 0.0000 0.2966
0.2966 0.0000 0.7034
```


# 2
Below is a relaxed TaSbSeI2 crystal, with properties calculated at the GGA-PBE level.

Calculated volume = 159.7 Å³ per cell
DFT total energy = -20.03 eV/cell
Distance to the lowest polymorph of the same formula = 0 meV per atom
Uncorrected formation energy = 507 meV/atom
Space-group type = P4/mmm (123)
Spin magnetization = 0.0 μB/cell
DOS(E_F) = 5.4 states/eV per cell

Cell and atoms, written as POSCAR:
```
TaSbSeI2
1.0
-2.8632 -1.1040 -4.3319
2.2785 -4.7863 -0.2862
-4.1052 -2.1493 3.2611
I Sb Se Ta
2 1 1 1
direct
0.0000 0.5000 0.0000
0.5000 0.0000 0.0000
0.0000 0.0000 0.5000
0.5000 0.5000 0.5000
0.0000 0.0000 0.0000
```


# 3
Below is a relaxed YbB2C crystal, with properties calculated at the GGA-PBE level.

Calculated volume = 344.3 Å³ per cell
E_form = -0.397 eV per atom
DFT total energy = -205.54 eV/cell
Space-group type = P4_2/mbc (135)
Spin magnetization = 0.0 μB/cell
DOS(E_F) = 56.3 states/eV per cell

Cell and atoms, written as POSCAR:
```
YbB2C
1.0
6.7574 0.0000 0.0000
0.0000 6.7574 0.0000
0.0000 0.0000 7.5405
Yb B C
8 16 8
direct
0.8138 0.3138 0.2500
0.1862 0.6862 0.2500
0.3138 0.1862 0.7500
0.6862 0.8138 0.7500
0.1862 0.6862 0.7500
0.8138 0.3138 0.7500
0.6862 0.8138 0.2500
0.3138 0.1862 0.2500
0.9042 0.5957 0.0000
0.0958 0.4043 0.0000
0.4042 0.9043 0.0000
0.5958 0.0957 0.0000
0.4043 0.9042 0.5000
0.5957 0.0958 0.5000
0.0957 0.4042 0.5000
0.9043 0.5958 0.5000
0.6496 0.5342 0.0000
0.3504 0.4658 0.0000
0.1496 0.9658 0.0000
0.8504 0.0342 0.0000
0.9658 0.8504 0.5000
0.0342 0.1496 0.5000
0.5342 0.3504 0.5000
0.4658 0.6496 0.5000
0.9589 0.8215 0.0000
0.0411 0.1785 0.0000
0.4589 0.6785 0.0000
0.5411 0.3215 0.0000
0.6785 0.5411 0.5000
0.3215 0.4589 0.5000
0.8215 0.0411 0.5000
0.1785 0.9589 0.5000
```


# 4
Below is a relaxed K4Y3SbSe8 crystal, with properties calculated at the GGA-PBE level.

Calculated volume = 475.7 Å³ per cell
DFT total energy = -79.86 eV/cell
Uncorrected formation energy = -1505 meV/atom
Space-group type = R-3m (166)
Spin magnetization = 0.0 μB/cell
DOS(E_F) = 0.0 states/eV per cell

Cell and atoms, written as POSCAR:
```
K4Y3SbSe8
1.0
-3.8637 7.1682 2.3011
-8.0649 -3.7092 -1.9870
4.9645 -4.0849 5.5017
K Y Sb Se
4 3 1 8
direct
0.5000 0.0000 0.0000
0.5000 0.0000 0.5000
0.0000 0.0000 0.0000
0.0000 0.0000 0.5000
0.5000 0.5000 0.0000
0.5000 0.5000 0.5000
0.0000 0.5000 0.5000
0.0000 0.5000 0.0000
0.2356 0.7049 0.9694
0.2356 0.7050 0.4713
0.2648 0.2945 0.5296
0.7337 0.7049 0.9694
0.2663 0.2951 0.0306
0.7352 0.7055 0.4704
0.7644 0.2950 0.5287
0.7644 0.2951 0.0306
```


# 5
Below is a relaxed TlCdAu4 crystal, with properties calculated at the GGA-PBE level.

Calculated volume = 127.7 Å³ per cell
E_form = -0.035 eV per atom
DFT total energy = -16.60 eV/cell
Space-group type = F-43m (216)
Spin magnetization = 0.0 μB/cell
DOS(E_F) = 1.1 states/eV per cell

Cell and atoms, written as POSCAR:
```
TlCdAu4
1.0
5.6518 0.0000 0.0000
2.8259 4.8946 0.0000
2.8259 1.6315 4.6147
Au Cd Tl
4 1 1
direct
0.1261 0.6246 0.6246
0.6246 0.6246 0.6246
0.6246 0.1261 0.6246
0.6246 0.6246 0.1261
0.2500 0.2500 0.2500
0.0000 0.0000 0.0000
```


# 6
Below is a relaxed Tb5Dy2Sc4 crystal, with properties calculated at the GGA-PBE level.

Calculated volume = 326.3 Å³ per cell
E_form = 0.191 eV per atom
DFT total energy = -55.58 eV/cell
Distance to the lowest polymorph of the same formula = 83 meV per atom
Space-group type = C2/m (12)
Spin magnetization = 0.0 μB/cell
DOS(E_F) = 16.7 states/eV per cell

Cell and atoms, written as POSCAR:
```
Tb5Dy2Sc4
1.0
-4.2659 4.7905 -1.7358
-1.2975 1.0824 -6.5441
-8.4533 -3.0244 -0.2922
Tb Dy Sc
5 2 4
direct
0.2369 0.1521 0.8335
0.7631 0.8479 0.1665
0.0000 0.5000 0.5000
0.7775 0.1521 0.8335
0.2225 0.8479 0.1665
0.3049 0.6141 0.7761
0.6951 0.3859 0.2239
0.2899 0.9436 0.4766
0.7101 0.0564 0.5234
0.7267 0.6813 0.8652
0.2733 0.3187 0.1348
```


# 7
Below is a relaxed GaHg2S4 crystal, with properties calculated at the GGA-PBE level.

Calculated volume = 161.3 Å³ per cell
DFT total energy = -20.66 eV/cell
Uncorrected formation energy = -74 meV/atom
Space-group type = C2/m (12)
Spin magnetization = 0.0 μB/cell
DOS(E_F) = 5.4 states/eV per cell

Cell and atoms, written as POSCAR:
```
GaHg2S4
1.0
3.6895 0.0000 0.0000
0.0000 6.8015 -0.9308
-1.8448 -4.2341 7.0078
Ga Hg S
1 2 4
direct
0.0000 0.0000 0.0000
0.6357 0.6761 0.2714
0.3643 0.3239 0.7286
0.8658 0.0715 0.7316
0.1342 0.9285 0.2684
0.6118 0.2900 0.2236
0.3882 0.7100 0.7764
```


# 8
Below is a relaxed AcGdTlGa crystal, with properties calculated at the GGA-PBE level.

Calculated volume = 118.7 Å³ per cell
E_form = -0.382 eV per atom
DFT total energy = -25.11 eV/cell
Space-group type = F-43m (216)
Spin magnetization = 7.3 μB/cell
DOS(E_F) = 3.7 states/eV per cell

Cell and atoms, written as POSCAR:
```
AcGdTlGa
1.0
-5.4880 0.3805 -0.4013
-3.1799 -4.2212 1.5789
-3.0762 0.4190 4.5591
Ac Gd Tl Ga
1 1 1 1
direct
0.5000 0.5000 0.5000
0.0000 0.0000 0.0000
0.7500 0.7500 0.7500
0.2500 0.2500 0.2500
```


# 9
Below is a relaxed AcLaAs crystal, with properties calculated at the GGA-PBE level.

Calculated volume = 101.4 Å³ per cell
E_form = -0.755 eV per atom
DFT total energy = -15.95 eV/cell
Distance to the lowest polymorph of the same formula = 111 meV per atom
Space-group type = I4mm (107)
Spin magnetization = 0.0 μB/cell
DOS(E_F) = 3.3 states/eV per cell

Cell and atoms, written as POSCAR:
```
AcLaAs
1.0
-2.5851 -0.3124 2.8876
-2.7023 -1.1582 -2.5445
4.4794 -5.6427 0.7819
Ac As La
1 1 1
direct
0.9863 0.9863 0.9725
0.6235 0.6235 0.2471
0.2402 0.2402 0.4804
```


# 10
Below is a relaxed LaPmY2Th crystal, with properties calculated at the GGA-PBE level.

Calculated volume = 362.3 Å³ per cell
E_form = 0.328 eV per atom
DFT total energy = -56.77 eV/cell
Space-group type = P2/c (13)
Spin magnetization = 0.0 μB/cell
DOS(E_F) = 16.6 states/eV per cell

Cell and atoms, written as POSCAR:
```
LaPmY2Th
1.0
6.3747 0.0000 0.0000
0.0000 8.5340 0.7160
0.0000 -1.7405 6.5145
La Pm Y Th
2 2 4 2
direct
0.0000 0.0000 0.0000
0.0000 0.0000 0.5000
0.1268 0.5000 0.7500
0.8732 0.5000 0.2500
0.6198 0.6754 0.8861
0.6198 0.3246 0.6139
0.3801 0.6754 0.3861
0.3801 0.3246 0.1139
0.5388 0.0000 0.2500
0.4612 0.0000 0.7500
```


# 11
Below is a relaxed PI2 crystal, with properties calculated at the GGA-PBE level.

Calculated volume = 278.9 Å³ per cell
DFT total energy = -17.26 eV/cell
Distance to the lowest polymorph of the same formula = 0 meV per atom
Uncorrected formation energy = -40 meV/atom
Space-group type = P-1 (2)
Spin magnetization = 0.0 μB/cell
DOS(E_F) = 0.0 states/eV per cell

Cell and atoms, written as POSCAR:
```
PI2
1.0
-2.0116 3.6404 3.0364
0.4359 -2.5702 7.0170
6.3968 3.7017 2.3583
I P
4 2
direct
0.4396 0.1697 0.7196
0.5604 0.8303 0.2804
0.1992 0.6971 0.7855
0.8008 0.3029 0.2145
0.5845 0.4663 0.6285
0.4155 0.5337 0.3715
```


# 12
Below is a relaxed CsCdPd2Se crystal, with properties calculated at the GGA-PBE level.

Calculated volume = 177.0 Å³ per cell
DFT total energy = -12.91 eV/cell
Uncorrected formation energy = 545 meV/atom
Space-group type = P4/mmm (123)
Spin magnetization = 0.9 μB/cell
DOS(E_F) = 5.9 states/eV per cell

Cell and atoms, written as POSCAR:
```
CsCdPd2Se
1.0
5.1413 0.0000 0.0000
0.0000 6.6971 0.0000
0.0000 0.0000 5.1413
Cs Se Pd Cd
1 1 2 1
direct
0.0000 0.5000 0.0000
0.5000 0.5000 0.5000
0.0000 0.0000 0.5000
0.5000 0.0000 0.0000
0.0000 0.0000 0.0000
```